[1]
# KTbTeO

A relaxed structure of KTbTeO (GGA-PBE, the Open Quantum Materials Database).

Output
As for the space group: R3m. The calculation puts the energy relative to the lowest polymorph listed for this composition at 293 meV/atom.

Cell lengths 3.898, 3.898, 22.494 Å; angles 90.00, 90.00, 120.00 degrees
Sites, in units of the cell vectors:
K: 0.000 0.000 0.000
K: 0.333 0.667 0.667
K: 0.667 0.333 0.333
Tb: 0.000 0.000 0.468
Tb: 0.333 0.667 0.135
Tb: 0.667 0.333 0.801
Te: 0.000 0.000 0.225
Te: 0.333 0.667 0.891
Te: 0.667 0.333 0.558
O: 0.000 0.000 0.761
O: 0.333 0.667 0.427
O: 0.667 0.333 0.094

***

[2]
# YMgAuS3

A relaxed structure of YMgAuS3 (GGA-PBE, the Open Quantum Materials Database).

Output
As for the space group: Cmcm. The raw total energy is -60.708 eV/cell.

Cell lengths 6.564, 6.564, 10.518 Å; angles 90.00, 90.00, 147.00 degrees
Sites, in units of the cell vectors:
Y: 0.000 0.000 0.000
Y: 0.000 0.000 0.500
Mg: 0.230 0.770 0.750
Mg: 0.770 0.230 0.250
Au: 0.478 0.522 0.250
Au: 0.522 0.478 0.750
S: 0.120 0.880 0.250
S: 0.351 0.649 0.071
S: 0.351 0.649 0.429
S: 0.649 0.351 0.571
S: 0.649 0.351 0.929
S: 0.880 0.120 0.750

***

[3]
# TmIr2

A relaxed structure of TmIr2 (GGA-PBE, the Open Quantum Materials Database).

Output
As for the space group: Fd-3m. For the energy of formation from the pure elements, the calculation gives -0.832 eV per atom.

Cell lengths 5.305, 5.305, 5.305 Å; angles 60.00, 60.00, 60.00 degrees
Sites, in units of the cell vectors:
Tm: 0.125 0.125 0.125
Tm: 0.875 0.875 0.875
Ir: 0.000 0.500 0.500
Ir: 0.500 0.000 0.500
Ir: 0.500 0.500 0.000
Ir: 0.500 0.500 0.500

***

[4]
# TaIrNO

A relaxed structure of TaIrNO (GGA-PBE, the Open Quantum Materials Database).

Output
As for the space group: Pmc2_1. The calculation puts the energy relative to the lowest polymorph listed for this composition at 0 meV/atom.

Cell lengths 3.559, 6.311, 5.200 Å; angles 90.00, 90.00, 90.00 degrees
Sites, in units of the cell vectors:
Ta: 0.000 0.209 0.000
Ta: 0.000 0.791 0.500
Ir: 0.500 0.472 0.551
Ir: 0.500 0.528 0.051
N: 0.500 0.252 0.824
N: 0.500 0.748 0.324
O: 0.000 0.072 0.317
O: 0.000 0.928 0.817

***

[5]
# PmNdO2

A relaxed structure of PmNdO2 (GGA-PBE, the Open Quantum Materials Database).

Output
As for the space group: P4/mmm. The raw total energy is -30.376 eV/cell.

Cell lengths 3.530, 3.530, 4.991 Å; angles 90.00, 90.00, 90.00 degrees
Sites, in units of the cell vectors:
Pm: 0.000 0.000 0.000
Nd: 0.500 0.500 0.500
O: 0.000 0.000 0.500
O: 0.500 0.500 0.000

***

[6]
# NaYBAu

A relaxed structure of NaYBAu (GGA-PBE, the Open Quantum Materials Database).

Output
As for the space group: F-43m. The calculation puts the energy relative to the lowest polymorph listed for this composition at 0 meV/atom.

Cell lengths 6.740, 6.740, 6.740 Å; angles 90.00, 90.00, 90.00 degrees
Sites, in units of the cell vectors:
Na: 0.000 0.000 0.000
Na: 0.000 0.500 0.500
Na: 0.500 0.000 0.500
Na: 0.500 0.500 0.000
Y: 0.000 0.000 0.500
Y: 0.000 0.500 0.000
Y: 0.500 0.000 0.000
Y: 0.500 0.500 0.500
B: 0.250 0.250 0.250
B: 0.250 0.750 0.750
B: 0.750 0.250 0.750
B: 0.750 0.750 0.250
Au: 0.250 0.250 0.750
Au: 0.250 0.750 0.250
Au: 0.750 0.250 0.250
Au: 0.750 0.750 0.750

***

[7]
# RbCd2Au2

A relaxed structure of RbCd2Au2 (GGA-PBE, the Open Quantum Materials Database).

Output
As for the space group: I4/mmm. The calculation puts the energy relative to the lowest polymorph listed for this composition at 0 meV/atom.

Cell lengths 4.788, 4.788, 11.938 Å; angles 90.00, 90.00, 90.00 degrees
Sites, in units of the cell vectors:
Rb: 0.000 0.000 0.000
Rb: 0.500 0.500 0.500
Cd: 0.000 0.500 0.250
Cd: 0.000 0.500 0.750
Cd: 0.500 0.000 0.250
Cd: 0.500 0.000 0.750
Au: 0.000 0.000 0.384
Au: 0.000 0.000 0.616
Au: 0.500 0.500 0.116
Au: 0.500 0.500 0.884

***

[8]
# LiErTc3

A relaxed structure of LiErTc3 (GGA-PBE, the Open Quantum Materials Database).

Output
As for the space group: Cmcm. The raw total energy is -73.171 eV/cell.

Cell lengths 7.090, 7.090, 5.726 Å; angles 90.00, 90.00, 142.12 degrees
Sites, in units of the cell vectors:
Li: 0.022 0.978 0.750
Li: 0.978 0.022 0.250
Er: 0.409 0.591 0.750
Er: 0.591 0.409 0.250
Tc: 0.199 0.801 0.527
Tc: 0.199 0.801 0.973
Tc: 0.345 0.655 0.250
Tc: 0.655 0.345 0.750
Tc: 0.801 0.199 0.027
Tc: 0.801 0.199 0.473

***

[9]
# LaCdB

A relaxed structure of LaCdB (GGA-PBE, the Open Quantum Materials Database).

Output
As for the space group: F-43m. The raw total energy is -39.170 eV/cell.

Cell lengths 6.845, 6.845, 6.845 Å; angles 90.00, 90.00, 90.00 degrees
Sites, in units of the cell vectors:
La: 0.000 0.000 0.000
La: 0.000 0.500 0.500
La: 0.500 0.000 0.500
La: 0.500 0.500 0.000
Cd: 0.250 0.250 0.250
Cd: 0.250 0.750 0.750
Cd: 0.750 0.250 0.750
Cd: 0.750 0.750 0.250
B: 0.250 0.250 0.750
B: 0.250 0.750 0.250
B: 0.750 0.250 0.250
B: 0.750 0.750 0.750

***

[10]
# Ba2MgSi2Ni

A relaxed structure of Ba2MgSi2Ni (GGA-PBE, the Open Quantum Materials Database).

Output
As for the space group: P-4m2. The raw total energy is -23.445 eV/cell.

Cell lengths 4.303, 4.303, 9.829 Å; angles 90.00, 90.00, 90.00 degrees
Sites, in units of the cell vectors:
Ba: 0.000 0.500 0.216
Ba: 0.500 0.000 0.784
Mg: 0.000 0.000 0.500
Si: 0.000 0.500 0.636
Si: 0.500 0.000 0.364
Ni: 0.500 0.500 0.500

***

[11]
# HoNpPt

A relaxed structure of HoNpPt (GGA-PBE, the Open Quantum Materials Database).

Output
As for the space group: F-43m. The calculation puts the energy relative to the lowest polymorph listed for this composition at 0 meV/atom. For the energy of formation from the pure elements, the calculation gives -0.349 eV per atom.

Cell lengths 6.855, 6.855, 6.855 Å; angles 90.00, 90.00, 90.00 degrees
Sites, in units of the cell vectors:
Ho: 0.000 0.000 0.000
Ho: 0.000 0.500 0.500
Ho: 0.500 0.000 0.500
Ho: 0.500 0.500 0.000
Np: 0.000 0.000 0.500
Np: 0.000 0.500 0.000
Np: 0.500 0.000 0.000
Np: 0.500 0.500 0.500
Pt: 0.250 0.250 0.250
Pt: 0.250 0.750 0.750
Pt: 0.750 0.250 0.750
Pt: 0.750 0.750 0.250

***

[12]
# Tb3Ni2Ge4

A relaxed structure of Tb3Ni2Ge4 (GGA-PBE, the Open Quantum Materials Database).

Output
As for the space group: C2/m. The raw total energy is -50.564 eV/cell.

Cell lengths 5.703, 5.703, 8.095 Å; angles 105.52, 105.52, 42.99 degrees
Sites, in units of the cell vectors:
Tb: 0.000 0.000 0.000
Tb: 0.375 0.375 0.307
Tb: 0.625 0.625 0.693
Ni: 0.309 0.309 0.631
Ni: 0.691 0.691 0.369
Ge: 0.092 0.092 0.399
Ge: 0.292 0.292 0.923
Ge: 0.708 0.708 0.077
Ge: 0.908 0.908 0.601

***

[13]
# Sr2ScOsS6

A relaxed structure of Sr2ScOsS6 (GGA-PBE, the Open Quantum Materials Database).

Output
As for the space group: P-1. The raw total energy is -57.687 eV/cell.

Cell lengths 6.665, 6.709, 6.718 Å; angles 61.53, 62.46, 60.81 degrees
Sites, in units of the cell vectors:
Sr: 0.239 0.253 0.261
Sr: 0.761 0.747 0.739
Sc: 0.000 0.000 0.000
Os: 0.500 0.500 0.500
S: 0.205 0.311 0.703
S: 0.223 0.805 0.677
S: 0.349 0.731 0.169
S: 0.651 0.269 0.831
S: 0.777 0.195 0.323
S: 0.795 0.689 0.297

***

[14]
# Tb2DyNi2C2N3

A relaxed structure of Tb2DyNi2C2N3 (GGA-PBE, the Open Quantum Materials Database).

Output
As for the space group: I4/mmm. The raw total energy is -77.096 eV/cell.

Cell lengths 10.079, 10.079, 10.079 Å; angles 160.18, 160.18, 28.17 degrees
Sites, in units of the cell vectors:
Tb: 0.126 0.126 0.000
Tb: 0.874 0.874 0.000
Dy: 0.500 0.500 0.000
Ni: 0.250 0.750 0.500
Ni: 0.750 0.250 0.500
C: 0.309 0.309 0.000
C: 0.691 0.691 0.000
N: 0.000 0.000 0.000
N: 0.381 0.381 0.000
N: 0.619 0.619 0.000

***

[15]
# Pr3HoPt4

A relaxed structure of Pr3HoPt4 (GGA-PBE, the Open Quantum Materials Database).

Output
As for the space group: Pm. For the energy of formation from the pure elements, the calculation gives -1.156 eV per atom.

Cell lengths 5.700, 4.601, 7.296 Å; angles 90.00, 90.70, 90.00 degrees
Sites, in units of the cell vectors:
Pr: 0.000 0.000 0.000
Pr: 0.220 0.000 0.496
Pr: 0.719 0.500 0.632
Ho: 0.499 0.500 0.133
Pt: 0.015 0.500 0.267
Pt: 0.212 0.500 0.779
Pt: 0.511 0.000 0.874
Pt: 0.697 0.000 0.347

***

[16]
# LaAgO2

A relaxed structure of LaAgO2 (GGA-PBE, the Open Quantum Materials Database).

Output
As for the space group: P6_3/mmc. The raw total energy is -53.105 eV/cell.

Cell lengths 3.804, 3.804, 12.346 Å; angles 90.00, 90.00, 120.00 degrees
Sites, in units of the cell vectors:
La: 0.000 0.000 0.000
La: 0.000 0.000 0.500
Ag: 0.333 0.667 0.250
Ag: 0.667 0.333 0.750
O: 0.333 0.667 0.084
O: 0.333 0.667 0.416
O: 0.667 0.333 0.584
O: 0.667 0.333 0.916

***

[17]
# DyHo2In

A relaxed structure of DyHo2In (GGA-PBE, the Open Quantum Materials Database).

Output
As for the space group: P4/mmm. The raw total energy is -17.561 eV/cell.

Cell lengths 4.817, 4.817, 4.832 Å; angles 90.00, 90.00, 90.00 degrees
Sites, in units of the cell vectors:
Dy: 0.000 0.000 0.000
Ho: 0.000 0.500 0.500
Ho: 0.500 0.000 0.500
In: 0.500 0.500 0.000

***

[18]
# La4FeS7

A relaxed structure of La4FeS7 (GGA-PBE, the Open Quantum Materials Database).

Output
As for the space group: P2_1. The raw total energy is -156.222 eV/cell.

Cell lengths 9.823, 6.935, 10.033 Å; angles 90.00, 119.22, 90.00 degrees
Sites, in units of the cell vectors:
La: 0.115 0.000 0.347
La: 0.127 0.985 0.788
La: 0.281 0.439 0.160
La: 0.357 0.464 0.622
La: 0.643 0.964 0.378
La: 0.719 0.939 0.840
La: 0.873 0.485 0.212
La: 0.885 0.500 0.653
Fe: 0.496 0.688 0.975
Fe: 0.504 0.188 0.025
S: 0.007 0.213 0.080
S: 0.046 0.277 0.504
S: 0.179 0.626 0.331
S: 0.269 0.371 0.873
S: 0.378 0.883 0.086
S: 0.387 0.859 0.745
S: 0.399 0.185 0.432
S: 0.601 0.685 0.568
S: 0.613 0.359 0.255
S: 0.622 0.383 0.914
S: 0.731 0.871 0.127
S: 0.821 0.126 0.669
S: 0.954 0.777 0.496
S: 0.993 0.713 0.920

***

[19]
# Nb2SnIr2Pb

A relaxed structure of Nb2SnIr2Pb (GGA-PBE, the Open Quantum Materials Database).

Output
As for the space group: Pm. The raw total energy is -190.392 eV/cell.

Cell lengths 10.885, 4.441, 10.892 Å; angles 90.00, 109.48, 90.00 degrees
Sites, in units of the cell vectors:
Nb: 0.000 0.000 0.000
Nb: 0.124 0.500 0.371
Nb: 0.250 0.000 0.747
Nb: 0.375 0.500 0.122
Nb: 0.498 0.000 0.496
Nb: 0.625 0.500 0.875
Nb: 0.751 0.000 0.246
Nb: 0.876 0.500 0.621
Sn: 0.249 0.000 0.247
Sn: 0.500 0.000 0.998
Sn: 0.875 0.500 0.122
Sn: 0.999 0.000 0.496
Ir: 0.001 0.000 0.743
Ir: 0.123 0.500 0.125
Ir: 0.246 0.000 0.493
Ir: 0.379 0.500 0.876
Ir: 0.495 0.000 0.243
Ir: 0.624 0.500 0.621
Ir: 0.751 0.000 0.003
Ir: 0.878 0.500 0.371
Pb: 0.125 0.500 0.874
Pb: 0.374 0.500 0.622
Pb: 0.625 0.500 0.371
Pb: 0.751 0.000 0.749

***

[20]
# KZrNO

A relaxed structure of KZrNO (GGA-PBE, the Open Quantum Materials Database).

Output
As for the space group: Pmc2_1. The calculation puts the energy relative to the lowest polymorph listed for this composition at 22 meV/atom.

Cell lengths 3.610, 7.164, 5.973 Å; angles 90.00, 90.00, 90.00 degrees
Sites, in units of the cell vectors:
K: 0.000 0.167 0.000
K: 0.000 0.833 0.500
Zr: 0.500 0.353 0.512
Zr: 0.500 0.647 0.012
N: 0.500 0.405 0.841
N: 0.500 0.595 0.341
O: 0.000 0.210 0.454
O: 0.000 0.790 0.954

***

[21]
# InOs2Pt

A relaxed structure of InOs2Pt (GGA-PBE, the Open Quantum Materials Database).

Output
As for the space group: F-43m. The raw total energy is -115.678 eV/cell.

Cell lengths 6.376, 6.376, 6.376 Å; angles 90.00, 90.00, 90.00 degrees
Sites, in units of the cell vectors:
In: 0.000 0.000 0.000
In: 0.000 0.500 0.500
In: 0.500 0.000 0.500
In: 0.500 0.500 0.000
Os: 0.000 0.000 0.500
Os: 0.000 0.500 0.000
Os: 0.250 0.250 0.750
Os: 0.250 0.750 0.250
Os: 0.500 0.000 0.000
Os: 0.500 0.500 0.500
Os: 0.750 0.250 0.250
Os: 0.750 0.750 0.750
Pt: 0.250 0.250 0.250
Pt: 0.250 0.750 0.750
Pt: 0.750 0.250 0.750
Pt: 0.750 0.750 0.250

***

[22]
# TbPrNi4Sn2

A relaxed structure of TbPrNi4Sn2 (GGA-PBE, the Open Quantum Materials Database).

Output
As for the space group: P-6m2. The raw total energy is -43.611 eV/cell.

Cell lengths 4.388, 4.388, 8.941 Å; angles 90.00, 90.00, 120.00 degrees
Sites, in units of the cell vectors:
Tb: 0.000 0.000 0.000
Pr: 0.333 0.667 0.500
Ni: 0.000 0.000 0.314
Ni: 0.000 0.000 0.686
Ni: 0.333 0.667 0.166
Ni: 0.333 0.667 0.834
Sn: 0.667 0.333 0.239
Sn: 0.667 0.333 0.761

***

[23]
# ZrFeTcGe

A relaxed structure of ZrFeTcGe (GGA-PBE, the Open Quantum Materials Database).

Output
As for the space group: F-43m. The calculation puts the energy relative to the lowest polymorph listed for this composition at 287 meV/atom.

Cell lengths 6.358, 6.358, 6.358 Å; angles 90.00, 90.00, 90.00 degrees
Sites, in units of the cell vectors:
Zr: 0.000 0.000 0.000
Zr: 0.000 0.500 0.500
Zr: 0.500 0.000 0.500
Zr: 0.500 0.500 0.000
Fe: 0.000 0.000 0.500
Fe: 0.000 0.500 0.000
Fe: 0.500 0.000 0.000
Fe: 0.500 0.500 0.500
Tc: 0.250 0.250 0.750
Tc: 0.250 0.750 0.250
Tc: 0.750 0.250 0.250
Tc: 0.750 0.750 0.750
Ge: 0.250 0.250 0.250
Ge: 0.250 0.750 0.750
Ge: 0.750 0.250 0.750
Ge: 0.750 0.750 0.250

***

[24]
# ErBeNO

A relaxed structure of ErBeNO (GGA-PBE, the Open Quantum Materials Database).

Output
As for the space group: Pca2_1. The calculation puts the energy relative to the lowest polymorph listed for this composition at 0 meV/atom.

Cell lengths 4.996, 6.959, 4.752 Å; angles 90.00, 90.00, 90.00 degrees
Sites, in units of the cell vectors:
Er: 0.017 0.167 0.000
Er: 0.483 0.167 0.500
Er: 0.517 0.833 0.000
Er: 0.983 0.833 0.500
Be: 0.074 0.595 0.987
Be: 0.426 0.595 0.487
Be: 0.574 0.405 0.987
Be: 0.926 0.405 0.487
N: 0.005 0.160 0.505
N: 0.495 0.160 0.005
N: 0.505 0.840 0.505
N: 0.995 0.840 0.005
O: 0.135 0.545 0.648
O: 0.365 0.545 0.148
O: 0.635 0.455 0.648
O: 0.865 0.455 0.148